[1]
Compound: Dy6Ho2Sc3In
Source: Alexandria via LeMat-Bulk
Functional: PBE
Structure: relaxed

Results
For the density, the calculation gives 7.52 g/cm3. The calculation puts the electronic total energy at -58.8 eV for the cell shown. The calculation puts the magnetic moment at 0.000 μB/f.u. The calculation puts the density of states at the Fermi level at 13.7 states/eV per cell. As for the formation energy: -0.03 eV/atom.

Cell and atoms, written as extended XYZ:
```
12
Lattice="5.9629 -0.0002 0.0052 -2.9802 5.1648 0.0052 -1.0019 -1.7348 11.1490" Properties=species:S:1:pos:R:3 pbc="T T T"
Dy 2.9670 1.7262 8.2943
Dy 1.9957 3.4556 2.8771
Dy -0.9862 1.7037 2.8650
Dy 0.0123 3.4326 8.2943
Dy -0.0149 -0.0258 8.2822
Dy 1.9685 -0.0028 2.8650
Ho 0.0030 3.4419 0.0052
Ho 2.9797 1.7227 0.0052
Sc -1.9917 3.4372 5.5797
Sc 3.9725 -0.0074 5.5797
Sc 0.9904 1.7149 5.5797
In 0.0000 0.0000 0.0000
```

=====

[2]
Compound: TiTe2Pd
Source: Alexandria via LeMat-Bulk
Functional: PBE
Structure: relaxed

Results
For the density, the calculation gives 7.53 g/cm3. The calculation puts the electronic total energy at -21.1 eV for the cell shown. The calculation puts the magnetic moment at 0.000 μB/f.u. The calculation puts the density of states at the Fermi level at 1.9 states/eV per cell.

Cell and atoms, written as extended XYZ:
```
4
Lattice="-0.2867 3.3576 1.9269 -3.4160 1.8318 0.2098 -2.7317 -1.7269 6.5125" Properties=species:S:1:pos:R:3 pbc="T T T"
Ti -3.1893 1.7957 4.2164
Te -2.3526 -0.8518 5.0442
Te -1.6078 0.8675 2.1591
Pd -2.5020 3.3823 1.5542
```

=====

[3]
Compound: CsRuI3
Source: Alexandria via LeMat-Bulk
Functional: PBE
Structure: relaxed

Results
For the density, the calculation gives 2.95 g/cm3. The calculation puts the electronic total energy at -9.6 eV for the cell shown. The calculation puts the magnetic moment at 4.000 μB/f.u. The calculation puts the density of states at the Fermi level at 42.6 states/eV per cell.

Cell and atoms, written as extended XYZ:
```
5
Lattice="7.0241 0.0000 0.0000 0.0000 7.0241 0.0000 0.0000 0.0000 7.0241" Properties=species:S:1:pos:R:3 pbc="T T T"
Cs 0.0000 0.0000 0.0000
I 0.0000 3.5120 0.0000
I 0.0000 0.0000 3.5120
I 3.5120 0.0000 0.0000
Ru 3.5120 3.5120 3.5120
```

=====

[4]
Compound: SrCu2Pt
Source: Alexandria via LeMat-Bulk
Functional: PBE
Structure: relaxed

Results
For the density, the calculation gives 8.16 g/cm3. The calculation puts the electronic total energy at -17.4 eV for the cell shown. The calculation puts the magnetic moment at 0.000 μB/f.u. The calculation puts the density of states at the Fermi level at 1.6 states/eV per cell. As for the formation energy: -0.36 eV/atom.

Cell and atoms, written as extended XYZ:
```
4
Lattice="-1.6273 -0.7287 -3.9839 -1.6146 -3.9251 -1.0183 -5.6374 -0.0643 -0.0450" Properties=species:S:1:pos:R:3 pbc="T T T"
Sr -2.2198 -1.1795 -1.2618
Cu -4.8495 -0.3206 -0.3247
Cu -5.2277 -2.1027 -2.2439
Pt -6.6595 -3.5385 -3.7854
```

=====

[5]
Compound: KNiAg2Te
Source: Alexandria via LeMat-Bulk
Functional: PBE
Structure: relaxed

Results
For the density, the calculation gives 5.38 g/cm3. The calculation puts the electronic total energy at -9.2 eV for the cell shown. The calculation puts the magnetic moment at 0.001 μB/f.u. The calculation puts the density of states at the Fermi level at 4.2 states/eV per cell.

Cell and atoms, written as extended XYZ:
```
5
Lattice="-4.1993 0.2015 3.3630 -2.4820 -2.7011 -2.9374 1.8070 -4.4010 2.5200" Properties=species:S:1:pos:R:3 pbc="T T T"
Ni -1.2410 -1.3505 -1.4687
K 0.0000 0.0000 0.0000
Te -2.4372 -3.4503 1.4728
Ag 0.9035 -2.2005 1.2600
Ag -2.0996 0.1008 1.6815
```

=====

[6]
Compound: PaCr2CuS6
Source: Alexandria via LeMat-Bulk
Functional: PBE
Structure: relaxed

Results
For the density, the calculation gives 5.21 g/cm3. The calculation puts the electronic total energy at -65.8 eV for the cell shown. The calculation puts the magnetic moment at 0.041 μB/f.u. The calculation puts the density of states at the Fermi level at 0.6 states/eV per cell.

Cell and atoms, written as extended XYZ:
```
10
Lattice="6.2366 0.0003 0.0002 3.1185 5.4014 -0.0001 3.1182 1.8005 5.5876" Properties=species:S:1:pos:R:3 pbc="T T T"
Pa 9.3551 5.4018 3.0703
Cr 6.2367 3.6010 2.6547
Cr 3.1181 1.8006 5.4386
Cu 3.1181 1.8004 0.4493
S 5.3311 1.7821 1.3044
S 5.1143 5.2944 1.3042
S 8.2649 3.7265 1.3046
S 6.9648 5.3402 4.1655
S 7.3787 2.1010 4.1658
S 4.3666 3.3624 4.1661
```

=====

[7]
Compound: Al2GaIr3
Source: Alexandria via LeMat-Bulk
Functional: PBE
Structure: relaxed

Results
For the density, the calculation gives 13.89 g/cm3. The calculation puts the electronic total energy at -41.6 eV for the cell shown. The calculation puts the magnetic moment at 0.000 μB/f.u. The calculation puts the density of states at the Fermi level at 2.2 states/eV per cell. As for the formation energy: -0.75 eV/atom.

Cell and atoms, written as extended XYZ:
```
6
Lattice="2.9724 0.0000 0.0000 0.0000 2.9724 0.0000 0.0000 0.0000 9.4792" Properties=species:S:1:pos:R:3 pbc="T T T"
Al 1.4862 1.4862 7.9190
Al 1.4862 1.4862 1.5602
Ga 1.4862 1.4862 4.7396
Ir 0.0000 0.0000 0.0000
Ir 0.0000 0.0000 6.3714
Ir 0.0000 0.0000 3.1078
```

=====

[8]
Compound: LaTh2Zn9
Source: Alexandria via LeMat-Bulk
Functional: PBE
Structure: relaxed

Results
For the density, the calculation gives 8.41 g/cm3. The calculation puts the electronic total energy at -34.4 eV for the cell shown. The calculation puts the magnetic moment at 0.000 μB/f.u. The calculation puts the density of states at the Fermi level at 6.7 states/eV per cell. As for the formation energy: -0.27 eV/atom.

Cell and atoms, written as extended XYZ:
```
12
Lattice="5.3164 0.0000 1.5822 2.4227 4.7323 1.5822 0.0989 0.0605 9.3905" Properties=species:S:1:pos:R:3 pbc="T T T"
La 0.0000 0.0000 0.0000
Th 6.6614 4.0732 6.7859
Th 1.1767 0.7195 5.7691
Zn 5.1436 3.1452 2.1628
Zn 2.6944 1.6476 10.3921
Zn 3.9190 2.3964 6.2775
Zn 3.2412 1.9819 3.6030
Zn 5.9489 1.9819 4.4089
Zn 4.4751 4.3921 4.4089
Zn 4.5969 2.8108 8.9519
Zn 3.3629 0.4006 8.1461
Zn 1.8891 2.8108 8.1461
```

=====

[9]
Compound: TiZn2Au2
Source: Alexandria via LeMat-Bulk
Functional: PBE
Structure: relaxed

Results
For the density, the calculation gives 11.40 g/cm3. The calculation puts the electronic total energy at -36.0 eV for the cell shown. The calculation puts the magnetic moment at 0.003 μB/f.u. The calculation puts the density of states at the Fermi level at 6.8 states/eV per cell. As for the formation energy: -0.20 eV/atom.

Cell and atoms, written as extended XYZ:
```
10
Lattice="4.5960 0.0000 0.0000 0.0000 5.9101 -0.0929 -2.2980 -1.3804 6.1644" Properties=species:S:1:pos:R:3 pbc="T T T"
Ti 0.0000 4.4326 -0.0696
Ti 4.5960 1.4775 -0.0232
Zn -0.0007 1.5480 4.8987
Zn 2.2973 0.0266 1.2193
Zn 2.2988 2.9817 1.1729
Zn 0.0007 4.5031 4.8522
Au -0.0007 0.0402 2.4304
Au 0.0007 2.9952 2.3839
Au 2.2987 4.4896 3.6412
Au 2.2973 1.5345 3.6876
```

=====

[10]
Compound: HfAs2SeN
Source: Alexandria via LeMat-Bulk
Functional: PBE
Structure: relaxed

Results
For the density, the calculation gives 5.05 g/cm3. The calculation puts the electronic total energy at -25.9 eV for the cell shown. The calculation puts the magnetic moment at 2.272 μB/f.u. The calculation puts the density of states at the Fermi level at 4.0 states/eV per cell.

Cell and atoms, written as extended XYZ:
```
5
Lattice="-1.4807 -4.2432 2.5997 4.6055 -2.1959 -0.9610 1.8659 2.0116 4.3461" Properties=species:S:1:pos:R:3 pbc="T T T"
As 2.3028 -1.0979 -0.4805
As -0.7403 -2.1216 1.2998
Hf 0.0000 0.0000 0.0000
Se 0.9330 1.0058 2.1730
N 2.4954 -2.2138 2.9924
```

=====

[11]
Compound: Sr2MnRe
Source: Alexandria via LeMat-Bulk
Functional: PBE
Structure: relaxed

Results
For the density, the calculation gives 6.72 g/cm3. The calculation puts the electronic total energy at -19.8 eV for the cell shown. The calculation puts the magnetic moment at 2.892 μB/f.u. The calculation puts the density of states at the Fermi level at 4.6 states/eV per cell. As for the formation energy: 1.29 eV/atom.

Cell and atoms, written as extended XYZ:
```
4
Lattice="-3.7662 9.3501 -3.8433 -3.0969 7.8283 -6.7458 -6.0166 7.2849 -5.2067" Properties=species:S:1:pos:R:3 pbc="T T T"
Mn -3.2199 6.1158 -3.9490
Re -9.6598 18.3475 -11.8469
Sr -0.0813 0.1545 -0.0998
Sr -6.3585 12.0772 -7.7982
```

=====

[12]
Compound: Er2AsI2
Source: Alexandria via LeMat-Bulk
Functional: PBE
Structure: relaxed

Results
For the density, the calculation gives 6.51 g/cm3. The calculation puts the electronic total energy at -24.1 eV for the cell shown. The calculation puts the magnetic moment at 0.000 μB/f.u. The calculation puts the density of states at the Fermi level at 1.5 states/eV per cell.

Cell and atoms, written as extended XYZ:
```
5
Lattice="4.0791 0.0000 0.7544 1.9698 3.5720 0.7544 -0.0364 -0.0215 11.6017" Properties=species:S:1:pos:R:3 pbc="T T T"
Er 3.7591 2.2198 2.4850
Er 2.2535 1.3307 10.6256
As 0.0000 0.0000 0.0000
I 1.3806 0.8153 3.9403
I 4.6320 2.7353 9.1703
```

=====

[13]
Compound: LiCd
Source: Alexandria via LeMat-Bulk
Functional: PBE
Structure: relaxed

Results
For the density, the calculation gives 4.71 g/cm3. The calculation puts the electronic total energy at -11.7 eV for the cell shown. The calculation puts the magnetic moment at 0.000 μB/f.u. The calculation puts the density of states at the Fermi level at 3.3 states/eV per cell. As for the formation energy: -0.05 eV/atom.

Cell and atoms, written as extended XYZ:
```
8
Lattice="-0.6202 -3.0508 -4.5569 4.6949 2.0745 -2.0278 2.8361 -4.1075 2.3640" Properties=species:S:1:pos:R:3 pbc="T T T"
Li 3.7063 1.1212 -2.4982
Li 4.2133 -2.7235 -3.3351
Li 2.6975 -2.3603 -0.8856
Li 0.3684 -2.0975 -4.0865
Cd 1.2614 -0.3022 -2.0384
Cd 1.8100 -4.1286 -2.8933
Cd 5.1008 -0.9553 -1.3274
Cd 2.8133 -0.6741 -4.5463
```